Below is a relaxed structure of Mg2CdGe2Pd5, with properties calculated at the GGA-PBE level.

Geometry as extended XYZ:
```
20
Lattice="9.618 0.000 0.000 0.000 9.618 0.000 0.000 0.000 3.709" Properties=species:S:1:pos:R:3 pbc="T T T"
Mg 1.637 3.172 0.000
Mg 3.172 7.981 0.000
Mg 6.447 1.637 0.000
Mg 7.981 6.447 0.000
Cd 0.000 0.000 0.000
Cd 4.809 4.809 0.000
Ge 1.242 6.051 0.000
Ge 3.567 1.242 0.000
Ge 6.051 8.376 0.000
Ge 8.376 3.567 0.000
Pd 0.000 4.809 1.855
Pd 0.724 7.645 1.855
Pd 1.973 0.724 1.855
Pd 2.836 5.533 1.855
Pd 4.085 2.836 1.855
Pd 4.809 0.000 1.855
Pd 5.533 6.782 1.855
Pd 6.782 4.085 1.855
Pd 7.645 8.894 1.855
Pd 8.894 1.973 1.855
```

Output
Energy relative to the elements: -11.09 kcal/mol of atoms
Space-group type: P4/mbm, No. 127
ρ: 8.11 g cm⁻³

***

Below is a relaxed structure of La6As4P, with properties calculated at the GGA-PBE level.

Geometry as extended XYZ:
```
22
Lattice="2.148 -7.156 0.000 2.148 7.156 0.000 0.000 0.000 21.625" Properties=species:S:1:pos:R:3 pbc="T T T"
La 0.000 0.000 0.000
La 0.000 0.000 10.813
La 2.148 4.428 16.219
La 2.148 3.199 1.799
La 2.148 3.199 9.014
La 2.148 0.719 14.429
La 2.148 0.719 18.009
La 2.148 -0.719 3.616
La 2.148 -0.719 7.197
La 2.148 -3.199 12.612
La 2.148 -3.199 19.826
La 2.148 -4.428 5.406
As 2.148 5.900 13.630
As 2.148 5.900 18.808
As 2.148 1.970 11.767
As 2.148 1.970 20.671
As 2.148 -1.970 0.954
As 2.148 -1.970 9.858
As 2.148 -5.900 2.817
As 2.148 -5.900 7.996
P 2.148 4.803 5.406
P 2.148 -4.803 16.219
```

Output
Energy relative to the elements: -32.23 kcal/mol of atoms
Space-group type: Cmcm, No. 63
ρ: 5.82 g cm⁻³

***

M_tot list, top to bottom, in μB per formula unit: 0.00, 0.65